Entry 1:
Material: CsYB2
Method: DFT, GGA-PBE
State: relaxed

Unit cell a=4.9631 b=4.9631 c=4.9631 alpha=60.00 beta=60.00 gamma=60.00
Closest atoms and distances in Å follow each position.
Atoms (fractional coordinates):
Cs: 0.5000 0.5000 0.5000  8 B 3.04
Y: 0.0000 0.0000 0.0000  8 B 3.04
B: 0.2500 0.2500 0.2500  4 Cs 3.04, 4 Y 3.04
B: 0.7500 0.7500 0.7500  4 Cs 3.04, 4 Y 3.04

Output
As for the polymorph energy (0 for the lowest one): 70.8 kJ/mol of formula units. For the uncorrected energy, the calculation gives -0.2626 Ry per atom. The volume is 86 Å³/cell. The energy of formation comes out at 1596 meV per atom.

Entry 2:
Material: CsY3B
Method: DFT, GGA-PBE
State: relaxed

Unit cell a=5.3487 b=5.3487 c=5.3487 alpha=90.00 beta=90.00 gamma=90.00
Closest atoms and distances in Å follow each position.
Atoms (fractional coordinates):
Cs: 0.5000 0.5000 0.5000  12 Y 3.78
Y: 0.0000 0.5000 0.0000  2 B 2.67
Y: 0.0000 0.0000 0.5000  2 B 2.67
Y: 0.5000 0.0000 0.0000  2 B 2.67
B: 0.0000 0.0000 0.0000  6 Y 2.67

Output
As for the polymorph energy (0 for the lowest one): 0.0 kJ/mol of formula units. For the uncorrected energy, the calculation gives -0.3662 Ry per atom. The volume is 153 Å³/cell. The energy of formation comes out at 402 meV per atom.

Entry 3:
Material: CsYB3
Method: DFT, GGA-PBE
State: relaxed

Unit cell a=5.1304 b=5.1304 c=5.1304 alpha=90.00 beta=90.00 gamma=90.00
Closest atoms and distances in Å follow each position.
Atoms (fractional coordinates):
Cs: 0.5000 0.5000 0.5000  12 B 3.63
Y: 0.0000 0.0000 0.0000  6 B 2.57
B: 0.0000 0.5000 0.0000  2 Y 2.57
B: 0.0000 0.0000 0.5000  2 Y 2.57
B: 0.5000 0.0000 0.0000  2 Y 2.57

Output
As for the polymorph energy (0 for the lowest one): 0.0 kJ/mol of formula units. For the uncorrected energy, the calculation gives -0.2634 Ry per atom. The volume is 135 Å³/cell. The energy of formation comes out at 1886 meV per atom.

Entry 4:
Material: Cs2YB
Method: DFT, GGA-PBE
State: relaxed

Unit cell a=10.2918 b=10.2918 c=10.2918 alpha=93.13 beta=93.13 gamma=152.99
Closest atoms and distances in Å follow each position.
Atoms (fractional coordinates):
Cs: 0.6250 0.3020 0.1770  2 B 3.73, 2 Y 4.10
Cs: 0.1250 0.4480 0.8230  2 B 3.73, 2 Y 4.10
Cs: 0.6980 0.8750 0.3230  2 B 3.73, 2 Y 4.10
Cs: 0.5520 0.3750 0.6770  2 B 3.73, 2 Y 4.10
Y: 0.0000 0.0000 0.0000  2 B 2.40
Y: 0.2500 0.7500 0.5000  2 B 2.40
B: 0.5000 0.5000 0.0000  2 Y 2.40
B: 0.7500 0.2500 0.5000  2 Y 2.40

Output
As for the polymorph energy (0 for the lowest one): 0.0 kJ/mol of formula units. For the uncorrected energy, the calculation gives -0.2086 Ry per atom. The volume is 481 Å³/cell. The energy of formation comes out at 874 meV per atom.

Entry 5:
Material: CsYB3
Method: DFT, GGA-PBE
State: relaxed

Unit cell a=4.6857 b=4.6857 c=4.6857 alpha=90.00 beta=90.00 gamma=90.00
Closest atoms and distances in Å follow each position.
Atoms (fractional coordinates):
Cs: 0.0000 0.0000 0.0000  6 B 2.34
Y: 0.5000 0.5000 0.5000  12 B 3.31
B: 0.0000 0.5000 0.0000  2 Cs 2.34
B: 0.0000 0.0000 0.5000  2 Cs 2.34
B: 0.5000 0.0000 0.0000  2 Cs 2.34

Output
As for the polymorph energy (0 for the lowest one): 363.7 kJ/mol of formula units. For the uncorrected energy, the calculation gives -0.2080 Ry per atom. The volume is 103 Å³/cell. The energy of formation comes out at 2640 meV per atom.

Entry 6:
Material: CsYB2
Method: DFT, GGA-PBE
State: relaxed

Unit cell a=5.0555 b=5.0555 c=9.4402 alpha=74.47 beta=74.47 gamma=90.00
Closest atoms and distances in Å follow each position.
Atoms (fractional coordinates):
Cs: 0.0000 0.0000 0.0000  8 B 3.57, 4 Y 3.57
Cs: 0.7500 0.2500 0.5000  8 B 3.57, 4 Y 3.57
Y: 0.5000 0.5000 0.0000  4 B 2.52
Y: 0.2500 0.7500 0.5000  4 B 2.52
B: 0.3751 0.1250 0.2500  2 Y 2.52, 2 B 2.53
B: 0.3749 0.6250 0.2500  2 Y 2.52, 2 B 2.53
B: 0.3750 0.6249 0.7500  2 Y 2.52, 2 B 2.53
B: 0.8750 0.6251 0.7500  2 Y 2.52, 2 B 2.53

Output
As for the polymorph energy (0 for the lowest one): 0.0 kJ/mol of formula units. For the uncorrected energy, the calculation gives -0.2760 Ry per atom. The volume is 223 Å³/cell. The energy of formation comes out at 1412 meV per atom.

Entry 7:
Material: CsY3B
Method: DFT, GGA-PBE
State: relaxed

Unit cell a=5.5779 b=5.5779 c=5.5779 alpha=90.00 beta=90.00 gamma=90.00
Closest atoms and distances in Å follow each position.
Atoms (fractional coordinates):
Cs: 0.0000 0.0000 0.0000  6 Y 2.79
Y: 0.0000 0.5000 0.0000  2 Cs 2.79
Y: 0.0000 0.0000 0.5000  2 Cs 2.79
Y: 0.5000 0.0000 0.0000  2 Cs 2.79
B: 0.5000 0.5000 0.5000  12 Y 3.94

Output
As for the polymorph energy (0 for the lowest one): 872.4 kJ/mol of formula units. For the uncorrected energy, the calculation gives -0.2333 Ry per atom. The volume is 174 Å³/cell. The energy of formation comes out at 2210 meV per atom.

Entry 8:
Material: CsY2B
Method: DFT, GGA-PBE
State: relaxed

Unit cell a=7.9368 b=7.9368 c=7.9322 alpha=59.98 beta=59.98 gamma=90.00
Closest atoms and distances in Å follow each position.
Atoms (fractional coordinates):
Cs: 0.0000 0.0000 0.0000  12 Y 4.61-4.70, 4 B 4.86, 4 Cs 4.86
Cs: 0.7500 0.2500 0.5000  12 Y 4.61-4.70, 4 B 4.86, 4 Cs 4.86
Y: 0.3687 0.1250 0.2500  2 B 2.43
Y: 0.3813 0.6250 0.2500  2 B 2.43
Y: 0.3750 0.6313 0.7500  2 B 2.43
Y: 0.8750 0.6187 0.7500  2 B 2.43
B: 0.5000 0.5000 0.0000  4 Y 2.43
B: 0.2500 0.7500 0.5000  4 Y 2.43

Output
For the uncorrected energy, the calculation gives -0.3331 Ry per atom. The volume is 353 Å³/cell. The energy of formation comes out at 583 meV per atom.